No. 1
Compound: PmHo2TmSc5
Source: Alexandria
Functional: PBE-GGA
Structure: optimized geometry

Unit cell a=9.6757 b=9.6757 c=10.2036 alpha=90.00 beta=90.00 gamma=148.04
Fractional coordinates of all 18 atoms:
Pm (0.0805, 0.9195, 0.5000)
Pm (0.9195, 0.0805, 0.0000)
Ho (0.3877, 0.6123, 0.3656)
Ho (0.3882, 0.6118, 0.7705)
Ho (0.6118, 0.3882, 0.2705)
Ho (0.6123, 0.3877, 0.8656)
Tm (0.2941, 0.7059, 0.0559)
Tm (0.7059, 0.2941, 0.5559)
Sc (0.0209, 0.9791, 0.7768)
Sc (0.1070, 0.8930, 0.0640)
Sc (0.2009, 0.7991, 0.7579)
Sc (0.2159, 0.7841, 0.3514)
Sc (0.4803, 0.5197, 0.0720)
Sc (0.5197, 0.4803, 0.5720)
Sc (0.7841, 0.2159, 0.8514)
Sc (0.7991, 0.2009, 0.2579)
Sc (0.8930, 0.1070, 0.5640)
Sc (0.9791, 0.0209, 0.2768)

- E_tot: -5.387 eV/atom
- Calculated formation energy: 0.1727 eV per atom
- V: 505.7 Å³ per cell
- SG: Cmc2_1

No. 2
Compound: Mg3ZnRe
Source: Alexandria
Functional: PBE-GGA
Structure: optimized geometry

Unit cell a=5.0949 b=5.0949 c=5.0949 alpha=90.00 beta=90.00 gamma=90.00
Fractional coordinates of all 5 atoms:
Mg (0.0000, 0.0000, 0.5000)
Mg (0.0000, 0.5000, 0.0000)
Mg (0.5000, 0.0000, 0.0000)
Zn (0.5000, 0.5000, 0.5000)
Re (0.0000, 0.0000, 0.0000)

- E_tot: -2.634 eV/atom
- Calculated formation energy: 1.0675 eV per atom
- V: 132.3 Å³ per cell
- Offset from the most stable computed form: 0 meV per atom
- SG: Pm-3m

Which value of E_tot does entry 1 give?
-5.387 eV/atom

Which of these has the highest E_tot?
Mg3ZnRe